A plane-wave DFT calculation with GGA-PBE was carried out for NiPtSe3 after structural relaxation.

Its crystal system is monoclinic. The uncorrected formation energy comes out at -202 meV/atom.

abc: 6.5435 3.7845 9.3283
angles: 90.00 104.53 90.00
Space group P2_1/m (No. 11)
Asymmetric unit:
Ni  0.0156  0.2500  0.3310
Pt  0.4854  0.2500  0.8192
Se  0.1497  0.2500  0.6049
Se  0.2814  0.7500  0.9035
Se  0.3516  0.2500  0.2879